Record 1
Sr3In5O12 | GGA-PBE | optimized geometry

The structure belongs to space group Ia-3d (No. 230); the cell edges are 13.621, 13.621 and 13.621 Å and the angles 90.00°, 90.00° and 90.00°. The asymmetric unit holds Sr at (0.000, 0.250, 0.125), In at (0.000, 0.000, 0.000), In at (0.000, 0.250, 0.375) and O at (0.027, 0.056, 0.648).

The magnetization comes out at 0.16 μB per atom. Its density of states at the Fermi level is 0.96 states/eV per atom. The value obtained for the total energy is -111.829 eV/f.u.

---

Record 2
KPb12Au4 | GGA-PBE | optimized geometry

The structure belongs to space group Im-3 (No. 204); the cell edges are 10.192, 10.192 and 10.192 Å and the angles 90.00°, 90.00° and 90.00°. The asymmetric unit holds K at (0.000, 0.000, 0.000), Pb at (0.000, 0.158, 0.347) and Au at (0.250, 0.250, 0.250).

The magnetization comes out at 0.00 μB per atom. Its density of states at the Fermi level is 0.77 states/eV per atom. As for the energy of formation from the pure elements: 0.252 eV per formula unit.

---

Record 3
TbZn2SiPt4 | GGA-PBE | optimized geometry

The structure belongs to space group R-3m (No. 166, hexagonal axes); the cell edges are 4.3596, 4.3596 and 24.4764 Å and the angles 90.00°, 90.00° and 120.00°. The asymmetric unit holds Tb at (0.0000, 0.0000, 0.0000), Zn at (0.0000, 0.0000, 0.2521), Si at (0.0000, 0.0000, 0.5000), Pt at (0.0000, 0.0000, 0.1362) and Pt at (0.0000, 0.0000, 0.4030).

The magnetization comes out at 0.00 μB per atom. Its density of states at the Fermi level is 0.32 states/eV per atom. The value obtained for the total energy is -42.836 eV/f.u.

---

Record 4
NaTb2Ga3Pt4 | GGA-PBE | optimized geometry

The structure belongs to space group P-4m2 (No. 115); the cell edges are 4.050, 4.050 and 11.789 Å and the angles 90.00°, 90.00° and 90.00°. The asymmetric unit holds Na at (0.000, 0.000, 0.000), Tb at (0.000, 0.500, 0.741), Ga at (0.000, 0.500, 0.372), Ga at (0.500, 0.500, 0.000), Pt at (0.000, 0.000, 0.500), Pt at (0.000, 0.500, 0.161) and Pt at (0.500, 0.500, 0.500).

The magnetization comes out at 0.00 μB per atom. Its density of states at the Fermi level is 0.28 states/eV per atom. As for the energy of formation from the pure elements: -8.258 eV per formula unit.

---

Record 5
PrPuNi10 | GGA-PBE | optimized geometry

The structure belongs to space group Pmmm (No. 47); the cell edges are 3.963, 4.929 and 8.556 Å and the angles 90.00°, 90.00° and 90.00°. The asymmetric unit holds Pr at (0.000, 0.000, 0.000), Pu at (0.000, 0.500, 0.500), Ni at (0.000, 0.000, 0.339), Ni at (0.000, 0.500, 0.174), Ni at (0.500, 0.000, 0.500), Ni at (0.500, 0.253, 0.255) and Ni at (0.500, 0.500, 0.000).

The magnetization comes out at 0.13 μB per atom. Its density of states at the Fermi level is 1.79 states/eV per atom. As for the energy of formation from the pure elements: -2.688 eV per formula unit.

---

| no. | ρ (g/cm³) |
| --- | --- |
| 1 | 5.41 |
| 2 | 10.39 |
| 3 | 13.58 |
| 4 | 11.42 |
| 5 | 9.66 |